No. 1
First-principles (GGA-PBE) data for an optimized crystal structure of Li2SnPbBr6, as listed in Alexandria via LeMat-Bulk.

The structure belongs to space group R3 (No. 146, hexagonal axes); the cell edges are 7.3461, 7.3461 and 19.5313 Å and the angles 90.00°, 90.00° and 120.00°. The asymmetric unit holds Li at (0.0000, 0.0000, 0.0000), Li at (0.0000, 0.0000, 0.4940), Sn at (0.0000, 0.0000, 0.6891), Pb at (0.0000, 0.0000, 0.1925), Br at (0.0071, 0.3901, 0.7579) and Br at (0.0097, 0.6146, 0.2593).

The value obtained for the formation energy from raw total energies is -1.101 eV per atom.


No. 2
First-principles (GGA-PBE) data for an optimized crystal structure of LiTi2RhN, as listed in Alexandria via LeMat-Bulk.

The structure belongs to space group P4/mmm (No. 123); the cell edges are 4.095, 4.095 and 3.780 Å and the angles 90.00°, 90.00° and 90.00°. The asymmetric unit holds Li at (0.000, 0.000, 0.000), Ti at (0.000, 0.500, 0.500), Rh at (0.500, 0.500, 0.000) and N at (0.000, 0.000, 0.500).

The value obtained for the formation energy from raw total energies is -0.829 eV per atom.


No. 3
First-principles (GGA-PBE) data for an optimized crystal structure of LaMgRe, as listed in Alexandria via LeMat-Bulk.

The structure belongs to space group F-43m (No. 216); the cell edges are 6.628, 6.628 and 6.628 Å and the angles 90.00°, 90.00° and 90.00°. The asymmetric unit holds La at (0.000, 0.000, 0.000), Mg at (0.000, 0.000, 0.500) and Re at (0.250, 0.250, 0.250).

For the total energy, the calculation gives -5.695 eV/atom.


No. 4
First-principles (GGA-PBE) data for an optimized crystal structure of SrTm2Te, as listed in Alexandria via LeMat-Bulk.

The structure belongs to space group R-3m (No. 166, hexagonal axes); the cell edges are 3.9007, 3.9007 and 33.4308 Å and the angles 90.00°, 90.00° and 120.00°. The asymmetric unit holds Sr at (0.0000, 0.0000, 0.0000), Tm at (0.0000, 0.0000, 0.1070) and Te at (0.0000, 0.0000, 0.5000).

The value obtained for the formation energy from raw total energies is -0.245 eV per atom.


No. 5
First-principles (GGA-PBE) data for an optimized crystal structure of K4Nd3SnSe8, as listed in Alexandria via LeMat-Bulk.

The structure belongs to space group R-3m (No. 166, hexagonal axes); the cell edges are 8.6541, 8.6541 and 23.0979 Å and the angles 90.00°, 90.00° and 120.00°. The asymmetric unit holds K at (0.0000, 0.0000, 0.0000), K at (0.0000, 0.5000, 0.0000), Nd at (0.0000, 0.5000, 0.5000), Sn at (0.0000, 0.0000, 0.5000), Se at (0.0000, 0.0000, 0.2374) and Se at (0.0064, 0.5032, 0.2359).

The value obtained for the formation energy from raw total energies is -1.489 eV per atom.


No. 6
First-principles (GGA-PBE) data for an optimized crystal structure of CsZr6I14, as listed in Alexandria via LeMat-Bulk.

The structure belongs to space group Cmce (No. 64); the cell edges are 16.180, 15.383 and 13.341 Å and the angles 90.00°, 90.00° and 90.00°. The asymmetric unit holds Cs at (0.000, 0.000, 0.000), Zr at (0.000, 0.105, 0.423), Zr at (0.113, 0.064, 0.616), I at (0.000, 0.148, 0.760), I at (0.121, 0.089, 0.260), I at (0.122, 0.226, 0.508), I at (0.245, 0.000, 0.000) and I at (0.250, 0.142, 0.750).

The value obtained for the formation energy from raw total energies is -0.902 eV per atom.


Number 1: DOS(E_F) 0.00 states/eV/cell. Number 2: DOS(E_F) 4.48 states/eV/cell. Number 3: DOS(E_F) 6.58 states/eV/cell. Number 4: DOS(E_F) 13.42 states/eV/cell. Number 5: DOS(E_F) 4.65 states/eV/cell. Number 6: DOS(E_F) 44.92 states/eV/cell.